YBr2Cl | PBE | optimized geometry

Values from the calculation:
Distance to the lowest polymorph of the same formula = 0.0010 eV/atom
Energy = -39.235 eV for the cell shown
Uncorrected formation energy = -1990.3 meV/atom

a = 15.4113 Å, b = 4.1197 Å, c = 5.3016 Å
α = 90.00°, β = 91.15°, γ = 90.00°
Last column: nearest neighbours and their distance in Å.
Space group C2/m (No. 12)
Inequivalent atoms, fractional coordinates:
1 Y 0.0000 0.0000 0.0000 (multiplicity 2)  2 Cl 2.65, 4 Br 2.82
2 Br 0.1252 0.5000 0.0076 (multiplicity 4)  2 Y 2.82
3 Cl 0.0000 0.0000 0.5000 (multiplicity 2)  2 Y 2.65

***

YBrCl2 | PBE | optimized geometry

Values from the calculation:
Distance to the lowest polymorph of the same formula = 0.0269 eV/atom
Energy = -40.466 eV for the cell shown
Uncorrected formation energy = -2100.7 meV/atom

a = 5.6147 Å, b = 13.3597 Å, c = 3.9909 Å
α = 90.00°, β = 90.00°, γ = 90.00°
Last column: nearest neighbours and their distance in Å.
Space group Cmmm (No. 65)
Inequivalent atoms, fractional coordinates:
1 Y 0.0000 0.0000 0.0000 (multiplicity 2)  4 Cl 2.67, 2 Br 2.81
2 Br 0.0000 0.5000 0.0000 (multiplicity 2)  2 Y 2.81
3 Cl 0.0000 0.1324 0.5000 (multiplicity 4)  2 Y 2.67